No. 1
This record from Alexandria describes an optimized crystal structure of Mg2CuSe. The functional is PBE.

It has space group F-43m (No. 216), with a = 6.764 Å, b = 6.764 Å, c = 6.764 Å, α = 90.00°, β = 90.00° and γ = 90.00°. The inequivalent atoms are Mg at (0.000, 0.000, 0.000), Mg at (0.250, 0.250, 0.250), Cu at (0.000, 0.000, 0.500) and Se at (0.250, 0.250, 0.750).

The uncorrected formation energy comes out at 8.3 kJ/mol of atoms. The density is 4.10 g cm⁻³. The crystal system is cubic. The value obtained for the electronic total energy is -2.6059 eV/atom.

No. 2
This record from Alexandria describes an optimized crystal structure of NbTe4As. The functional is PBE.

It has space group P1 (No. 1), with a = 6.183 Å, b = 6.186 Å, c = 7.288 Å, α = 115.07°, β = 115.01° and γ = 90.04°. The inequivalent atoms are Nb at (0.000, 0.000, 0.000), Te at (0.123, 0.147, 0.759), Te at (0.388, 0.880, 0.242), Te at (0.638, 0.612, 0.759), Te at (0.852, 0.362, 0.240) and As at (0.250, 0.750, 0.500).

The uncorrected formation energy comes out at 1.3 kJ/mol of atoms. The density is 5.04 g cm⁻³. The crystal system is triclinic. The value obtained for the electronic total energy is -4.5343 eV/atom.

No. 3
This record from Alexandria describes an optimized crystal structure of Sr5Zn2Pb5. The functional is PBE.

It has space group C2/m (No. 12), with a = 17.669 Å, b = 4.649 Å, c = 13.067 Å, α = 90.00°, β = 130.99° and γ = 90.00°. The inequivalent atoms are Sr at (0.000, 0.000, 0.000), Sr at (0.114, 0.000, 0.425), Sr at (0.203, 0.000, 0.826), Zn at (0.137, 0.500, 0.257), Pb at (0.000, 0.500, 0.500), Pb at (0.059, 0.500, 0.838) and Pb at (0.246, 0.000, 0.312).

The density is 6.58 g cm⁻³. The energy of formation is -434 meV per atom. The crystal system is monoclinic. The value obtained for the electronic total energy is -2.8923 eV/atom.